No. 1
Computed, not measured: MnCdFe3 after structural relaxation at the PBE level of DFT.

a b c (Å): 4.272 4.272 4.272
angles (deg): 90.00 90.00 90.00
Positions (direct):
1 Mn 0.000 0.000 0.000
2 Cd 0.500 0.500 0.500
3 Fe 0.000 0.000 0.500
4 Fe 0.000 0.500 0.000
5 Fe 0.500 0.000 0.000

Values from the calculation:
space group = Pm-3m (221)
uncorrected energy = -6.08 eV per atom
ρ = 7.13 Mg/m³
energy above the lowest structure with this stoichiometry = 0 meV per atom
energy of formation from the pure elements = 5.06 eV per formula unit

---

No. 2
Computed, not measured: La2NdCu after structural relaxation at the PBE level of DFT.

a b c (Å): 3.706 3.706 8.859
angles (deg): 90.00 90.00 90.00
Positions (direct):
1 La 0.000 0.000 0.198
2 La 0.000 0.000 0.802
3 Nd 0.500 0.500 0.500
4 Cu 0.500 0.500 0.000

Values from the calculation:
space group = P4/mmm (123)
uncorrected energy = -4.73 eV per atom
ρ = 6.63 Mg/m³
energy above the lowest structure with this stoichiometry = 10 meV per atom
energy of formation from the pure elements = -0.21 eV per formula unit

---

No. 3
Computed, not measured: NbNiN2 after structural relaxation at the PBE level of DFT.

a b c (Å): 5.722 5.722 5.722
angles (deg): 133.26 133.26 68.25
Positions (direct):
1 Nb 0.000 0.000 0.000
2 Nb 0.750 0.250 0.500
3 Ni 0.250 0.750 0.500
4 Ni 0.500 0.500 0.000
5 N 0.126 0.625 0.001
6 N 0.375 0.376 0.501
7 N 0.624 0.125 0.999
8 N 0.875 0.874 0.499

Values from the calculation:
space group = I-42d (122)
uncorrected energy = -8.48 eV per atom
raw formation energy = -352.8 meV/atom
ρ = 6.11 Mg/m³

---

No. 4
Computed, not measured: ZnP2Ru4 after structural relaxation at the PBE level of DFT.

a b c (Å): 16.478 3.862 6.004
angles (deg): 90.00 90.00 90.00
Positions (direct):
1 Zn 0.143 0.250 0.030
2 Zn 0.357 0.750 0.530
3 Zn 0.643 0.250 0.470
4 Zn 0.857 0.750 0.970
5 P 0.034 0.750 0.750
6 P 0.213 0.250 0.517
7 P 0.287 0.750 0.017
8 P 0.466 0.250 0.250
9 P 0.534 0.750 0.750
10 P 0.713 0.250 0.983
11 P 0.787 0.750 0.483
12 P 0.966 0.250 0.250
13 Ru 0.041 0.750 0.134
14 Ru 0.069 0.250 0.525
15 Ru 0.176 0.750 0.752
16 Ru 0.193 0.750 0.300
17 Ru 0.307 0.250 0.800
18 Ru 0.324 0.250 0.252
19 Ru 0.431 0.750 0.025
20 Ru 0.459 0.250 0.634
21 Ru 0.541 0.750 0.366
22 Ru 0.569 0.250 0.975
23 Ru 0.676 0.750 0.748
24 Ru 0.693 0.750 0.200
25 Ru 0.807 0.250 0.700
26 Ru 0.824 0.250 0.248
27 Ru 0.931 0.750 0.475
28 Ru 0.959 0.250 0.866

Values from the calculation:
space group = Pnma (62)
uncorrected energy = -7.44 eV per atom
ρ = 9.24 Mg/m³
energy of formation from the pure elements = -2.88 eV per formula unit

---

no.,size of the total moment (Bohr magnetons per cell)
1,5.3
2,0.0
3,2.0
4,0.0